16
Lattice="4.1395 2.3900 6.8088 -4.1395 2.3900 6.8088 0.0000 -4.7799 6.8088" Properties=species:S:1:pos:R:3 comment="Sm4YPu3Se8 (PBE-GGA, relaxed)" sg=R-3m crystal_system=trigonal e_form_raw_ev_per_atom=-1.726 pbc="T T T"
Sm 0.0000 0.0000 0.0000
Sm -2.0698 -1.1950 6.8088
Sm -2.0698 1.1950 13.6176
Sm 0.0000 2.3899 6.8088
Y 0.0000 0.0000 10.2132
Pu -4.1395 0.0000 10.2132
Pu -2.0698 1.1950 3.4044
Pu 2.0698 1.1950 3.4044
Se 0.0000 0.0000 5.0832
Se -2.0582 -1.1883 11.8854
Se 0.0000 -2.3766 8.5410
Se -2.0582 1.1883 8.5410
Se 2.0582 -1.1883 11.8854
Se 0.0000 2.3766 11.8854
Se 2.0582 1.1883 8.5410
Se 0.0000 0.0000 15.3432